(1)
CuRe2Pd, optimized geometry, DFT GGA-PBE; total DFT energy (no corrections) = -31.51 eV/cell; mass density = 15.6 g/cm3; ΔH_f (0 K) = 2.67 eV/f.u.; ΔE to the lowest computed polymorph = 0 meV/atom; D(E_F) = 4.0 states/eV per cell
1.0
0.0000 3.0655 3.0655
3.0655 0.0000 3.0655
3.0655 3.0655 0.0000
Re Cu Pd
2 1 1
Direct
0.2500 0.2500 0.2500
0.7500 0.7500 0.7500
0.0000 0.0000 0.0000
0.5000 0.5000 0.5000



(2)
CuRePd2, optimized geometry, DFT GGA-PBE; total DFT energy (no corrections) = -26.91 eV/cell; mass density = 13.4 g/cm3; ΔH_f (0 K) = 0.02 eV/f.u.; ΔE to the lowest computed polymorph = 0 meV/atom; D(E_F) = 2.4 states/eV per cell
1.0
-2.6968 -0.0865 -0.5304
0.2118 -2.6654 -0.6423
-1.3615 -1.8487 7.2233
Re Cu Pd
1 1 2
Direct
0.5000 0.5000 0.5000
0.5000 0.5000 0.0000
0.0000 0.0000 0.7559
0.0000 0.0000 0.2441



(3)
Sc2CuRePd, optimized geometry, DFT GGA-PBE; total DFT energy (no corrections) = -30.21 eV/cell; mass density = 6.9 g/cm3; ΔH_f (0 K) = 4.19 eV/f.u.; D(E_F) = 5.0 states/eV per cell
1.0
-3.8392 -0.7546 -2.8712
-2.1467 -2.0830 3.4178
-1.8846 4.2461 1.4041
Sc Re Cu Pd
2 1 1 1
Direct
0.0000 0.0000 0.5000
0.5000 0.0000 0.0000
0.5000 0.5000 0.5000
0.0000 0.5000 0.0000
0.0000 0.0000 0.0000



(4)
CuRe2TcPd, optimized geometry, DFT GGA-PBE; total DFT energy (no corrections) = -34.54 eV/cell; mass density = 10.2 g/cm3; ΔH_f (0 K) = 10.01 eV/f.u.; D(E_F) = 5.0 states/eV per cell
1.0
4.6472 0.0000 0.0000
0.0000 4.8496 0.0000
0.0000 0.0000 4.6472
Re Cu Tc Pd
2 1 1 1
Direct
0.0000 0.0000 0.5000
0.5000 0.0000 0.0000
0.5000 0.5000 0.5000
0.0000 0.0000 0.0000
0.0000 0.5000 0.0000



(5)
CuPd3Rh, optimized geometry, DFT GGA-PBE; total DFT energy (no corrections) = -21.91 eV/cell; mass density = 8.7 g/cm3; ΔH_f (0 K) = 5.11 eV/f.u.; ΔE to the lowest computed polymorph = 802 meV/atom; D(E_F) = 6.2 states/eV per cell
1.0
-1.5250 -3.2329 2.7646
-2.4591 -1.7263 -3.3753
3.4709 -2.6436 -1.1767
Rh Cu Pd
1 1 3
Direct
0.5000 0.5000 0.5000
0.0000 0.0000 0.0000
0.0000 0.5000 0.0000
0.0000 0.0000 0.5000
0.5000 0.0000 0.0000



(6)
Cu2PdRh, optimized geometry, DFT GGA-PBE; total DFT energy (no corrections) = -20.55 eV/cell; mass density = 10.3 g/cm3; ΔH_f (0 K) = 0.19 eV/f.u.; D(E_F) = 7.9 states/eV per cell
1.0
2.8050 0.0000 0.0000
0.0000 4.3878 0.0000
0.0000 0.0000 4.3878
Rh Cu Pd
1 2 1
Direct
0.5000 0.5000 0.5000
0.0000 0.0000 0.5000
0.0000 0.5000 0.0000
0.5000 0.0000 0.0000



(7)
Cu2PdRh, optimized geometry, DFT GGA-PBE; total DFT energy (no corrections) = -20.72 eV/cell; mass density = 10.3 g/cm3; ΔH_f (0 K) = 0.01 eV/f.u.; D(E_F) = 5.6 states/eV per cell
1.0
-1.3108 -0.9005 2.1896
-1.8696 -1.9411 -0.2452
4.9926 -6.9240 1.8136
Rh Cu Pd
1 2 1
Direct
0.0000 0.0000 0.0000
0.7493 0.7493 0.7522
0.2507 0.2507 0.2478
0.5000 0.5000 0.5000



(8)
Cu4Pd7Rh, optimized geometry, DFT GGA-PBE; total DFT energy (no corrections) = -60.44 eV/cell; mass density = 10.7 g/cm3; ΔH_f (0 K) = -0.35 eV/f.u.; D(E_F) = 17.0 states/eV per cell
1.0
-3.7391 3.9288 0.0130
-0.2065 -0.2219 4.7422
1.9229 7.4137 2.7220
Cu Pd Rh
4 7 1
Direct
0.4992 0.6664 0.3338
0.5008 0.3336 0.6662
0.7508 0.8344 0.6652
0.2492 0.1656 0.3348
0.7483 0.5016 0.0026
0.2517 0.4984 0.9974
0.0042 0.3293 0.6605
0.9958 0.6707 0.3395
0.2565 0.8306 0.6600
0.5000 0.0000 0.0000
0.7435 0.1694 0.3400
0.0000 0.0000 0.0000



(9)
Cu4PdRh, optimized geometry, DFT GGA-PBE; total DFT energy (no corrections) = -28.73 eV/cell; mass density = 9.9 g/cm3; ΔH_f (0 K) = 0.20 eV/f.u.; ΔE to the lowest computed polymorph = 26 meV/atom; D(E_F) = 6.0 states/eV per cell
1.0
4.7880 0.0000 0.0000
2.3940 4.1466 0.0000
2.3940 1.3822 3.9094
Rh Cu Pd
1 4 1
Direct
0.0000 0.0000 0.0000
0.6251 0.6251 0.1246
0.6251 0.1246 0.6251
0.6251 0.6251 0.6251
0.1246 0.6251 0.6251
0.2500 0.2500 0.2500



(10)
Cu6Pd12Rh, optimized geometry, DFT GGA-PBE; total DFT energy (no corrections) = -95.06 eV/cell; mass density = 10.7 g/cm3; ΔH_f (0 K) = -0.81 eV/f.u.; D(E_F) = 27.0 states/eV per cell
1.0
-6.1645 0.1664 -2.5894
-0.3430 -3.4185 6.3553
-4.2630 3.5618 4.6189
Cu Pd Rh
6 12 1
Direct
0.4225 0.4724 0.2119
0.0499 0.6843 0.5276
0.3656 0.7881 0.6843
0.5775 0.5276 0.7881
0.9501 0.3157 0.4724
0.6344 0.2119 0.3157
0.5238 0.8438 0.2685
0.6800 0.8877 0.8438
0.7923 0.2685 0.8877
0.4762 0.1562 0.7315
0.3200 0.1123 0.1562
0.2077 0.7315 0.1123
0.2627 0.4272 0.6282
0.1091 0.3718 0.0554
0.1645 0.0554 0.5728
0.7373 0.5728 0.3718
0.8909 0.6282 0.9446
0.8355 0.9446 0.4272
0.0000 0.0000 0.0000



(11)
CuPd3Rh, optimized geometry, DFT GGA-PBE; total DFT energy (no corrections) = -51.84 eV/cell; mass density = 10.1 g/cm3; ΔH_f (0 K) = 1.11 eV/f.u.; ΔE to the lowest computed polymorph = 0 meV/atom; D(E_F) = 16.2 states/eV per cell
1.0
-4.8850 -0.5128 1.7428
2.4017 -2.6149 -7.0003
0.3754 -4.1186 2.3746
Cu Pd Rh
2 6 2
Direct
0.3096 0.9485 0.7002
0.6904 0.0515 0.2998
0.4834 0.3247 0.5398
0.2674 0.6899 0.0201
0.1327 0.9791 0.2309
0.5166 0.6753 0.4602
0.8673 0.0209 0.7691
0.7326 0.3101 0.9799
0.7580 0.6547 0.9066
0.2420 0.3453 0.0934



(12)
Cu2PdRh, optimized geometry, DFT GGA-PBE; total DFT energy (no corrections) = -37.94 eV/cell; mass density = 9.4 g/cm3; ΔH_f (0 K) = 1.77 eV/f.u.; D(E_F) = 10.9 states/eV per cell
1.0
-0.7048 -4.3708 5.0830
-4.8044 -3.2352 -3.4481
-0.9336 -5.3545 -0.2641
Rh Cu Pd
2 4 2
Direct
0.5000 0.5000 0.0000
0.2500 0.7500 0.5000
0.6216 0.1250 0.2500
0.1284 0.6250 0.2500
0.3750 0.3784 0.7500
0.8750 0.8716 0.7500
0.0000 0.0000 0.0000
0.7500 0.2500 0.5000



(13)
Cu6PdRh, optimized geometry, DFT GGA-PBE; total DFT energy (no corrections) = -37.32 eV/cell; mass density = 9.6 g/cm3; ΔH_f (0 K) = -0.20 eV/f.u.; D(E_F) = 5.6 states/eV per cell
1.0
3.7069 0.0000 0.0000
0.0000 3.7069 0.0000
0.0000 0.0000 7.4328
Cu Pd Rh
6 1 1
Direct
0.5000 0.5000 0.0000
0.5000 0.5000 0.5000
0.5000 0.0000 0.2520
0.5000 0.0000 0.7480
0.0000 0.5000 0.2520
0.0000 0.5000 0.7480
0.0000 0.0000 0.0000
0.0000 0.0000 0.5000